## Mg2HgAs (PBE)

Data for an optimized crystal structure of Mg2HgAs.

Unit cell a=4.922 b=4.922 c=4.922 alpha=60.00 beta=60.00 gamma=60.00
Fractional positions:
Mg: 0.750 0.750 0.750
Mg: 0.250 0.250 0.250
As: 0.000 0.000 0.000
Hg: 0.500 0.500 0.500

Properties
**Energy above the lowest structure with this stoichiometry**: 0.119 eV per atom
**Energy relative to the elements**: -0.25 eV per atom
**Total moment**: 0.00 μB per formula unit
**DFT total energy**: -2.29 eV per atom
**Density of states at the Fermi level**: 1.41 states/eV per cell
**Space-group type**: No. 225

***

## Ta2MnCr (PBE)

Data for an optimized crystal structure of Ta2MnCr.

Unit cell a=3.076 b=4.359 c=4.359 alpha=90.00 beta=90.00 gamma=90.00
Fractional positions:
Ta: 0.000 0.500 0.000
Cr: 0.500 0.000 0.000
Mn: 0.500 0.500 0.500
Ta: 0.000 0.000 0.500

Properties
**Energy relative to the elements**: -0.15 eV per atom
**Total moment**: 0.00 μB per formula unit
**DFT total energy**: -10.77 eV per atom
**Density of states at the Fermi level**: 2.50 states/eV per cell
**Space-group type**: No. 123